[1]
{"formula": "Hg3PS6", "functional": "PBE", "state": "optimized geometry", "dos_ef_per_ev_cell": 9.816, "energy_ev_per_atom": -2.92, "magmom_total_mub_per_fu": 0.00, "e_form_raw_mev_per_atom": 192, "lattice_angstrom": [[6.522, 0.000, -0.119], [0.000, 6.216, 0.000], [-0.076, 0.000, 10.526]], "species": ["S", "S", "S", "S", "S", "S", "S", "S", "S", "S", "S", "S", "Hg", "Hg", "Hg", "Hg", "Hg", "Hg", "P", "P"], "fractional_positions": [[0.868, 0.691, 0.938], [0.176, 0.369, 0.459], [0.928, 0.907, 0.210], [0.368, 0.809, 0.438], [0.824, 0.631, 0.541], [0.132, 0.309, 0.062], [0.428, 0.593, 0.710], [0.572, 0.407, 0.290], [0.072, 0.093, 0.790], [0.324, 0.869, 0.041], [0.676, 0.131, 0.959], [0.632, 0.191, 0.562], [0.500, 0.500, 0.000], [0.046, 0.512, 0.751], [0.954, 0.488, 0.249], [0.546, 0.988, 0.251], [0.000, 0.000, 0.500], [0.454, 0.012, 0.749], [0.000, 0.000, 0.000], [0.500, 0.500, 0.500]]}


[2]
{"formula": "HgSb2PS", "functional": "PBE", "state": "optimized geometry", "dos_ef_per_ev_cell": 4.216, "energy_ev_per_atom": -2.81, "magmom_total_mub_per_fu": 0.00, "e_form_raw_mev_per_atom": 803, "lattice_angstrom": [[5.231, 0.000, 0.000], [0.000, 5.052, 0.000], [0.000, 0.000, 5.231]], "species": ["S", "Hg", "Sb", "Sb", "P"], "fractional_positions": [[0.000, 0.000, 0.000], [0.000, 0.500, 0.000], [0.000, 0.000, 0.500], [0.500, 0.000, 0.000], [0.500, 0.500, 0.500]]}